No. 1
Ca3Ce2PrAs6 GGA-PBE optimized geometry; total energy = -5.47 eV per atom; N(E_F) = 11.40 states/eV/cell
1.0
7.426 -0.004 -0.001
-3.714 6.430 -0.001
-1.239 -2.146 6.827
As Ca Ce Pr
6 3 2 1
Cartesian
2.442 4.229 1.624
-1.270 2.198 1.627
-0.067 4.282 5.198
3.743 2.082 5.198
0.030 0.052 5.201
2.539 -0.002 1.627
1.236 2.140 3.412
-2.507 4.302 3.412
4.979 -0.021 3.412
-0.001 4.286 -0.001
3.713 2.141 -0.001
0.000 0.000 0.000

No. 2
AcSm2TiN4 GGA-PBE optimized geometry; N(E_F) = 5.29 states/eV/cell; uncorrected formation energy = -10.9 eV/f.u.
1.0
3.543 0.000 0.000
-1.771 6.143 0.000
0.000 0.000 12.165
Sm N Ac Ti
4 8 2 2
Cartesian
0.000 4.546 6.575
0.000 4.546 11.672
1.771 1.596 0.493
1.771 1.596 5.590
0.000 3.241 1.544
0.000 0.000 0.000
0.000 5.120 9.124
1.771 2.902 7.627
1.771 2.902 10.621
1.771 1.022 3.041
0.000 3.241 4.539
0.000 0.000 6.083
0.000 1.153 9.124
1.771 4.990 3.041
1.771 4.044 9.124
0.000 2.099 3.041